DFT (meta-GGA SCAN) results for YCuRu2 at its PBEsol-relaxed geometry.

Lattice parameters (Å, degrees): 8.355 8.355 8.355 20.70 20.70 20.70
Atoms (fractional coordinates):
Y 0.000 0.000 0.000
Cu 0.500 0.500 0.500
Ru 0.243 0.243 0.243
Ru 0.757 0.757 0.757

Properties
Offset from the most stable computed form, meV per atom: 465
Density of states at the Fermi level, states/eV per cell: 5.196
Crystal system: trigonal
SG: R-3m (166)
Energy of formation, eV per atom: 0.56

=====

DFT (meta-GGA SCAN) results for YCuRu2 at its PBEsol-relaxed geometry.

Lattice parameters (Å, degrees): 3.899 3.899 4.068 90.00 90.00 90.00
Atoms (fractional coordinates):
Y 0.000 0.000 0.000
Cu 0.500 0.500 0.000
Ru 0.000 0.500 0.500
Ru 0.500 0.000 0.500

Properties
Offset from the most stable computed form, meV per atom: 0
Density of states at the Fermi level, states/eV per cell: 4.029
Crystal system: tetragonal
SG: P4/mmm (123)
Energy of formation, eV per atom: 0.10

=====

DFT (meta-GGA SCAN) results for Y2CuRu at its PBEsol-relaxed geometry.

Lattice parameters (Å, degrees): 3.377 3.377 6.856 90.00 90.00 90.00
Atoms (fractional coordinates):
Y 0.000 0.000 0.241
Y 0.000 0.000 0.759
Cu 0.500 0.500 0.500
Ru 0.500 0.500 0.000

Properties
Density of states at the Fermi level, states/eV per cell: 2.631
Crystal system: tetragonal
SG: P4/mmm (123)
Energy of formation, eV per atom: -0.39